# BaAl2SI | the Alexandria database | PBE | optimized geometry
# * magnetization: 0.10 μB per formula unit
# * energy relative to the elements, uncorrected: 0.89 eV/atom
# * density of states at the Fermi level: 10.31 states/eV/f.u.
data_BaAl2SI
_cell_length_a 6.7697
_cell_length_b 6.7697
_cell_length_c 6.3223
_cell_angle_alpha 90.00
_cell_angle_beta 90.00
_cell_angle_gamma 90.00
_symmetry_space_group_name_H-M 'P 4/m m m'
_symmetry_Int_Tables_number 123
_symmetry_space_group_name_Hall '-P 4 2'
loop_
_atom_site_label
_atom_site_type_symbol
_atom_site_fract_x
_atom_site_fract_y
_atom_site_fract_z
_atom_site_occupancy
Ba1 Ba 0.0000 0.0000 0.0000 1
Al1 Al 0.0000 0.5000 0.0000 1
S1 S 0.5000 0.5000 0.5000 1
I1 I 0.0000 0.0000 0.5000 1